This record from Alexandria via LeMat-Bulk describes Li2TiPN4 after structural relaxation. The functional is PBE.

Properties
Formation energy (no corrections) ... -0.5200 eV per atom
Energy ... -0.5016 Ry/atom

```
data_Li2TiPN4
_chemical_formula_sum 'Li8 Ti4 P4 N16'
_space_group_name_H-M_alt 'I m m a'
_space_group_IT_number 74
_space_group_name_Hall '-I 2b 2'
_cell_length_a 5.520
_cell_length_b 5.996
_cell_length_c 8.413
_cell_angle_alpha 90.00
_cell_angle_beta 90.00
_cell_angle_gamma 90.00
loop_
_atom_site_label
_atom_site_type_symbol
_atom_site_fract_x
_atom_site_fract_y
_atom_site_fract_z
Li1 Li 0.000 0.000 0.000
Li2 Li 0.250 0.250 0.250
Ti1 Ti 0.000 0.000 0.500
P1 P 0.250 0.250 0.750
N1 N 0.000 0.046 0.746
N2 N 0.244 0.250 0.524
```

This record from Alexandria via LeMat-Bulk describes SmScGePd after structural relaxation. The functional is PBE.

Properties
Energy ... -0.4380 Ry/atom
Energy of formation ... -744 meV per atom

```
data_SmScGePd
_chemical_formula_sum 'Sm4 Sc4 Ge4 Pd4'
_space_group_name_H-M_alt 'F -4 3 m'
_space_group_IT_number 216
_space_group_name_Hall 'F -4 2 3'
_cell_length_a 6.976
_cell_length_b 6.976
_cell_length_c 6.976
_cell_angle_alpha 90.00
_cell_angle_beta 90.00
_cell_angle_gamma 90.00
loop_
_atom_site_label
_atom_site_type_symbol
_atom_site_fract_x
_atom_site_fract_y
_atom_site_fract_z
Sm1 Sm 0.000 0.000 0.000
Sc1 Sc 0.000 0.000 0.500
Ge1 Ge 0.250 0.250 0.250
Pd1 Pd 0.250 0.250 0.750
```

This record from Alexandria via LeMat-Bulk describes LaHo2ScTe4 after structural relaxation. The functional is PBE.

Properties
Formation energy (no corrections) ... -1.2718 eV per atom
Energy ... -0.3965 Ry/atom

```
data_LaHo2ScTe4
_chemical_formula_sum 'La1 Ho2 Sc1 Te4'
_space_group_name_H-M_alt 'P 1 2/m 1'
_space_group_IT_number 10
_space_group_name_Hall '-P 2y'
_cell_length_a 7.557
_cell_length_b 4.316
_cell_length_c 7.631
_cell_angle_alpha 90.00
_cell_angle_beta 108.85
_cell_angle_gamma 90.00
loop_
_atom_site_label
_atom_site_type_symbol
_atom_site_fract_x
_atom_site_fract_y
_atom_site_fract_z
La1 La 0.000 0.000 0.000
Ho1 Ho 0.500 0.000 0.500
Ho2 Ho 0.500 0.500 0.000
Sc1 Sc 0.000 0.500 0.500
Te1 Te 0.248 0.000 0.736
Te2 Te 0.258 0.500 0.266
```

This record from Alexandria via LeMat-Bulk describes HoEr2H after structural relaxation. The functional is PBE.

Properties
Excess energy over the best structure of this formula in the dataset ... 312 meV per atom
Energy ... -0.3045 Ry/atom

```
data_HoEr2H
_chemical_formula_sum 'Ho1 Er2 H1'
_space_group_name_H-M_alt 'P 4/m m m'
_space_group_IT_number 123
_space_group_name_Hall '-P 4 2'
_cell_length_a 3.319
_cell_length_b 3.319
_cell_length_c 8.366
_cell_angle_alpha 90.00
_cell_angle_beta 90.00
_cell_angle_gamma 90.00
loop_
_atom_site_label
_atom_site_type_symbol
_atom_site_fract_x
_atom_site_fract_y
_atom_site_fract_z
Ho1 Ho 0.000 0.000 0.000
Er1 Er 0.500 0.500 0.307
H1 H 0.000 0.000 0.500
```

This record from Alexandria via LeMat-Bulk describes Ac2DyIn after structural relaxation. The functional is PBE.

Properties
Excess energy over the best structure of this formula in the dataset ... 0 meV per atom
Energy ... -0.2976 Ry/atom
Energy of formation ... -160 meV per atom

```
data_Ac2DyIn
_chemical_formula_sum 'Ac2 Dy1 In1'
_space_group_name_H-M_alt 'P 4/m m m'
_space_group_IT_number 123
_space_group_name_Hall '-P 4 2'
_cell_length_a 5.212
_cell_length_b 5.212
_cell_length_c 5.173
_cell_angle_alpha 90.00
_cell_angle_beta 90.00
_cell_angle_gamma 90.00
loop_
_atom_site_label
_atom_site_type_symbol
_atom_site_fract_x
_atom_site_fract_y
_atom_site_fract_z
Ac1 Ac 0.000 0.500 0.000
Dy1 Dy 0.000 0.000 0.500
In1 In 0.500 0.500 0.500
```

This record from Alexandria via LeMat-Bulk describes Ag2P2Ru after structural relaxation. The functional is PBE.

Properties
Energy ... -0.3865 Ry/atom
Energy of formation ... -99 meV per atom

```
data_Ag2P2Ru
_chemical_formula_sum 'Ag4 P4 Ru2'
_space_group_name_H-M_alt 'P 4/m b m'
_space_group_IT_number 127
_space_group_name_Hall '-P 4 2ab'
_cell_length_a 5.959
_cell_length_b 5.959
_cell_length_c 4.647
_cell_angle_alpha 90.00
_cell_angle_beta 90.00
_cell_angle_gamma 90.00
loop_
_atom_site_label
_atom_site_type_symbol
_atom_site_fract_x
_atom_site_fract_y
_atom_site_fract_z
Ag1 Ag 0.247 0.253 0.000
P1 P 0.131 0.369 0.500
Ru1 Ru 0.000 0.000 0.500
```

This record from Alexandria via LeMat-Bulk describes NaHgPb2 after structural relaxation. The functional is PBE.

Properties
Energy ... -0.1720 Ry/atom
Energy of formation ... -81 meV per atom

```
data_NaHgPb2
_chemical_formula_sum 'Na3 Hg3 Pb6'
_space_group_name_H-M_alt 'R 3 m'
_space_group_IT_number 160
_space_group_name_Hall 'R 3 -2"'
_cell_length_a 5.5371
_cell_length_b 5.5371
_cell_length_c 12.9984
_cell_angle_alpha 90.00
_cell_angle_beta 90.00
_cell_angle_gamma 120.00
loop_
_atom_site_label
_atom_site_type_symbol
_atom_site_fract_x
_atom_site_fract_y
_atom_site_fract_z
Na1 Na 0.0000 0.0000 0.0000
Hg1 Hg 0.0000 0.0000 0.2448
Pb1 Pb 0.0000 0.0000 0.4975
Pb2 Pb 0.0000 0.0000 0.7506
```

This record from Alexandria via LeMat-Bulk describes Pm2SmHf after structural relaxation. The functional is PBE.

Properties
Excess energy over the best structure of this formula in the dataset ... 22 meV per atom
Energy ... -0.4312 Ry/atom
Energy of formation ... 176 meV per atom

```
data_Pm2SmHf
_chemical_formula_sum 'Pm2 Sm1 Hf1'
_space_group_name_H-M_alt 'P 4/m m m'
_space_group_IT_number 123
_space_group_name_Hall '-P 4 2'
_cell_length_a 4.946
_cell_length_b 4.946
_cell_length_c 4.930
_cell_angle_alpha 90.00
_cell_angle_beta 90.00
_cell_angle_gamma 90.00
loop_
_atom_site_label
_atom_site_type_symbol
_atom_site_fract_x
_atom_site_fract_y
_atom_site_fract_z
Pm1 Pm 0.000 0.500 0.000
Sm1 Sm 0.000 0.000 0.500
Hf1 Hf 0.500 0.500 0.500
```

This record from Alexandria via LeMat-Bulk describes PrCd2Ag after structural relaxation. The functional is PBE.

Properties
Energy ... -0.1875 Ry/atom
Energy of formation ... -185 meV per atom

```
data_PrCd2Ag
_chemical_formula_sum 'Pr1 Cd2 Ag1'
_space_group_name_H-M_alt 'P 4/m m m'
_space_group_IT_number 123
_space_group_name_Hall '-P 4 2'
_cell_length_a 3.517
_cell_length_b 3.517
_cell_length_c 7.755
_cell_angle_alpha 90.00
_cell_angle_beta 90.00
_cell_angle_gamma 90.00
loop_
_atom_site_label
_atom_site_type_symbol
_atom_site_fract_x
_atom_site_fract_y
_atom_site_fract_z
Pr1 Pr 0.000 0.000 0.000
Cd1 Cd 0.500 0.500 0.292
Ag1 Ag 0.000 0.000 0.500
```

This record from Alexandria via LeMat-Bulk describes SrYCl2 after structural relaxation. The functional is PBE.

Properties
Excess energy over the best structure of this formula in the dataset ... 488 meV per atom
Formation energy (no corrections) ... -0.9924 eV per atom
Energy ... -0.2905 Ry/atom

```
data_SrYCl2
_chemical_formula_sum 'Sr4 Y4 Cl8'
_space_group_name_H-M_alt 'F m -3 m'
_space_group_IT_number 225
_space_group_name_Hall '-F 4 2 3'
_cell_length_a 7.333
_cell_length_b 7.333
_cell_length_c 7.333
_cell_angle_alpha 90.00
_cell_angle_beta 90.00
_cell_angle_gamma 90.00
loop_
_atom_site_label
_atom_site_type_symbol
_atom_site_fract_x
_atom_site_fract_y
_atom_site_fract_z
Sr1 Sr 0.000 0.000 0.000
Y1 Y 0.000 0.000 0.500
Cl1 Cl 0.250 0.250 0.250
```

This record from Alexandria via LeMat-Bulk describes AcMgSb2Rh5 after structural relaxation. The functional is PBE.

Properties
Formation energy (no corrections) ... -0.3165 eV per atom
Energy ... -0.4373 Ry/atom

```
data_AcMgSb2Rh5
_chemical_formula_sum 'Ac1 Mg1 Sb2 Rh5'
_space_group_name_H-M_alt 'P 4/m m m'
_space_group_IT_number 123
_space_group_name_Hall '-P 4 2'
_cell_length_a 4.216
_cell_length_b 4.216
_cell_length_c 11.097
_cell_angle_alpha 90.00
_cell_angle_beta 90.00
_cell_angle_gamma 90.00
loop_
_atom_site_label
_atom_site_type_symbol
_atom_site_fract_x
_atom_site_fract_y
_atom_site_fract_z
Ac1 Ac 0.000 0.000 0.000
Mg1 Mg 0.000 0.000 0.500
Sb1 Sb 0.500 0.500 0.232
Rh1 Rh 0.000 0.500 0.361
Rh2 Rh 0.500 0.500 0.000
```

This record from Alexandria via LeMat-Bulk describes CdNi2Mo after structural relaxation. The functional is PBE.

Properties
Energy ... -0.4004 Ry/atom
Energy of formation ... 380 meV per atom

```
data_CdNi2Mo
_chemical_formula_sum 'Cd2 Ni4 Mo2'
_space_group_name_H-M_alt 'I -4 m 2'
_space_group_IT_number 119
_space_group_name_Hall 'I -4 -2'
_cell_length_a 3.811
_cell_length_b 3.811
_cell_length_c 7.886
_cell_angle_alpha 90.00
_cell_angle_beta 90.00
_cell_angle_gamma 90.00
loop_
_atom_site_label
_atom_site_type_symbol
_atom_site_fract_x
_atom_site_fract_y
_atom_site_fract_z
Cd1 Cd 0.000 0.000 0.000
Ni1 Ni 0.000 0.000 0.500
Ni2 Ni 0.000 0.500 0.250
Mo1 Mo 0.000 0.500 0.750
```

This record from Alexandria via LeMat-Bulk describes LiErPuCo after structural relaxation. The functional is PBE.

Properties
Energy ... -0.5072 Ry/atom
Energy of formation ... 78 meV per atom

```
data_LiErPuCo
_chemical_formula_sum 'Li4 Er4 Pu4 Co4'
_space_group_name_H-M_alt 'F -4 3 m'
_space_group_IT_number 216
_space_group_name_Hall 'F -4 2 3'
_cell_length_a 6.804
_cell_length_b 6.804
_cell_length_c 6.804
_cell_angle_alpha 90.00
_cell_angle_beta 90.00
_cell_angle_gamma 90.00
loop_
_atom_site_label
_atom_site_type_symbol
_atom_site_fract_x
_atom_site_fract_y
_atom_site_fract_z
Li1 Li 0.000 0.000 0.000
Er1 Er 0.250 0.250 0.750
Pu1 Pu 0.250 0.250 0.250
Co1 Co 0.000 0.000 0.500
```